[1]
VASP calculation (PBE) on crystalline BaMoPb at its relaxed geometry.

Calculated values
Distance to the lowest polymorph of the same formula, eV/f.u.: 0.72
ΔH_f (0 K), eV/atom: 0.8399
Calculated total energy, eV/cell: -13.9

Cell and atoms, written as POSCAR:
```
BaMoPb
1.0
-2.9126 -0.7585 2.3013
0.7938 -2.3283 -2.8816
4.3515 -3.7876 4.2591
Ba Mo Pb
1 1 1
direct
0.0000 0.0000 0.0255
0.6667 0.3333 0.3644
0.3333 0.6667 0.6101
```

=====

[2]
VASP calculation (PBE) on crystalline BaAcGeBr at its relaxed geometry.

Calculated values
Distance to the lowest polymorph of the same formula, eV/f.u.: 0.00
ΔE_f (raw), meV/atom: -1132
Calculated total energy, eV/cell: -16.9

Cell and atoms, written as POSCAR:
```
BaAcGeBr
1.0
4.6785 -0.0008 0.0001
-2.3389 4.0517 -0.0001
-2.3378 -1.3499 8.1849
Ba Ac Ge Br
1 1 1 1
direct
0.4935 0.1447 0.6533
0.1076 0.9518 0.0746
0.3171 0.5565 0.8888
0.9597 0.3779 0.3529
```

=====

[3]
VASP calculation (PBE) on crystalline Nd12Al2Tl5 at its relaxed geometry.

Calculated values
ΔH_f (0 K), eV/atom: -0.1476
Calculated total energy, eV/cell: -79.3

Cell and atoms, written as POSCAR:
```
Nd12Al2Tl5
1.0
-2.3635 0.4461 6.9198
-7.1158 -1.9803 -6.1806
0.7292 -9.3311 0.8506
Nd Al Tl
12 2 5
direct
0.9668 0.9337 0.1883
0.0877 0.6784 0.9460
0.5907 0.6784 0.9460
0.0943 0.6936 0.5119
0.5993 0.6936 0.5119
0.5018 0.0036 0.6969
0.4982 0.9964 0.3031
0.9057 0.3064 0.4881
0.4007 0.3064 0.4881
0.9123 0.3216 0.0540
0.4093 0.3216 0.0540
0.0332 0.0663 0.8117
0.6703 0.0000 0.0000
0.3297 0.0000 0.0000
0.2265 0.4531 0.7515
0.2934 0.5869 0.2457
0.0000 0.0000 0.5000
0.7066 0.4131 0.7543
0.7735 0.5469 0.2485
```

=====

[4]
VASP calculation (PBE) on crystalline TcSe2Cl at its relaxed geometry.

Calculated values
Distance to the lowest polymorph of the same formula, eV/f.u.: 0.13
ΔE_f (raw), meV/atom: -188
Calculated total energy, eV/cell: -19.9

Cell and atoms, written as POSCAR:
```
TcSe2Cl
1.0
3.5418 0.0000 0.0000
0.0000 5.3480 -0.0661
0.0000 3.1420 4.3353
Cl Se Tc
1 2 1
direct
0.5000 0.7500 0.7500
0.0000 0.0629 0.0636
0.0000 0.4371 0.4364
0.5000 0.2500 0.2500
```

=====

[5]
VASP calculation (PBE) on crystalline BaGeN at its relaxed geometry.

Calculated values
Distance to the lowest polymorph of the same formula, eV/f.u.: 1.16
ΔE_f (raw), meV/atom: -106
Calculated total energy, eV/cell: -30.4

Cell and atoms, written as POSCAR:
```
BaGeN
1.0
3.4188 0.0001 -0.0021
0.0000 3.4188 -0.0021
-1.7030 -1.7031 10.5446
Ba Ge N
2 2 2
direct
0.7358 0.2359 0.4717
0.9859 0.9858 0.9717
0.6079 0.6080 0.2158
0.3580 0.8579 0.7158
0.1636 0.6637 0.3274
0.4137 0.4136 0.8274
```

=====

[6]
VASP calculation (PBE) on crystalline Li2Pm3Pb4 at its relaxed geometry.

Calculated values
ΔH_f (0 K), eV/atom: -0.4834
Calculated total energy, eV/cell: -37.3

Cell and atoms, written as POSCAR:
```
Li2Pm3Pb4
1.0
4.7204 0.0000 0.0000
-2.3602 5.9187 -0.1543
0.0000 -2.6047 8.7228
Li Pm Pb
2 3 4
direct
0.6911 0.3821 0.3741
0.3089 0.6179 0.6259
0.6289 0.2578 0.6912
0.0000 0.0000 0.0000
0.3711 0.7422 0.3088
0.7015 0.4030 0.0795
0.2985 0.5970 0.9205
0.9215 0.8430 0.6146
0.0785 0.1570 0.3854
```

=====

[7]
VASP calculation (PBE) on crystalline Cd4W3 at its relaxed geometry.

Calculated values
Distance to the lowest polymorph of the same formula, eV/f.u.: 0.00
ΔH_f (0 K), eV/atom: 0.5665
Calculated total energy, eV/cell: -38.6

Cell and atoms, written as POSCAR:
```
Cd4W3
1.0
-3.5834 -14.9283 -0.9823
-7.2049 -13.5797 0.5852
4.6700 14.5550 -1.7335
Cd W
4 3
direct
0.8506 0.8506 0.0000
0.5711 0.5711 0.0000
0.4289 0.4289 0.0000
0.1494 0.1494 0.0000
0.0000 0.0000 0.0000
0.7225 0.7225 0.0000
0.2775 0.2775 0.0000
```

=====

[8]
VASP calculation (PBE) on crystalline DyTh2MnN4 at its relaxed geometry.

Calculated values
ΔE_f (raw), meV/atom: -1130
Calculated total energy, eV/cell: -141.9

Cell and atoms, written as POSCAR:
```
DyTh2MnN4
1.0
3.5457 0.0000 0.0000
-1.7728 5.8477 0.0000
0.0000 0.0000 12.0744
Dy Th Mn N
2 4 2 8
direct
0.1012 0.2025 0.7500
0.8988 0.7975 0.2500
0.3691 0.7381 0.5565
0.6309 0.2619 0.0565
0.6309 0.2619 0.4435
0.3691 0.7381 0.9435
0.8326 0.6651 0.7500
0.1674 0.3349 0.2500
0.2737 0.5474 0.1242
0.7263 0.4526 0.6242
0.7263 0.4526 0.8758
0.2737 0.5474 0.3758
0.0000 0.0000 0.5000
0.0000 0.0000 0.0000
0.4530 0.9060 0.7500
0.5470 0.0940 0.2500
```

=====

[9]
VASP calculation (PBE) on crystalline CsMn2NbBr8 at its relaxed geometry.

Calculated values
ΔE_f (raw), meV/atom: -850
Calculated total energy, eV/cell: -52.8

Cell and atoms, written as POSCAR:
```
CsMn2NbBr8
1.0
6.7044 0.0000 0.0000
3.3522 5.8062 0.0000
3.3522 1.9354 11.2915
Cs Mn Nb Br
1 2 1 8
direct
0.0000 0.0000 0.0000
0.7610 0.7610 0.7170
0.2390 0.2390 0.2830
0.5000 0.5000 0.5000
0.6892 0.6892 0.9324
0.3108 0.3108 0.0676
0.5723 0.2342 0.3452
0.7658 0.4277 0.6548
0.1516 0.7658 0.6548
0.2342 0.8484 0.3452
0.8484 0.5723 0.3452
0.4277 0.1516 0.6548
```

=====

[10]
VASP calculation (PBE) on crystalline FeTc2Ir at its relaxed geometry.

Calculated values
Distance to the lowest polymorph of the same formula, eV/f.u.: 0.08
ΔH_f (0 K), eV/atom: -0.0307
Calculated total energy, eV/cell: -38.2

Cell and atoms, written as POSCAR:
```
FeTc2Ir
1.0
-2.5909 0.7019 0.1021
-0.6869 -2.5796 0.2994
0.4907 0.7313 7.4272
Fe Ir Tc
1 1 2
direct
0.5000 0.5000 0.2500
0.5000 0.5000 0.7500
0.0000 0.0000 0.0159
0.0000 0.0000 0.4841
```

=====

[11]
VASP calculation (PBE) on crystalline AlZnCl2 at its relaxed geometry.

Calculated values
Distance to the lowest polymorph of the same formula, eV/f.u.: 1.37
ΔE_f (raw), meV/atom: -348
Calculated total energy, eV/cell: -10.1

Cell and atoms, written as POSCAR:
```
AlZnCl2
1.0
2.1752 0.0000 10.8304
-1.0876 1.8837 10.8304
-1.0876 -1.8837 10.8304
Zn Al Cl
1 1 2
direct
0.0000 0.0000 0.0000
0.5000 0.5000 0.5000
0.8765 0.8765 0.8765
0.1235 0.1235 0.1235
```

=====

[12]
VASP calculation (PBE) on crystalline CeSiSn2 at its relaxed geometry.

Calculated values
Distance to the lowest polymorph of the same formula, eV/f.u.: 0.00
ΔE_f (raw), meV/atom: -406
Calculated total energy, eV/cell: -21.0

Cell and atoms, written as POSCAR:
```
CeSiSn2
1.0
-1.6287 -2.7219 -3.5395
-2.1049 -2.5790 2.9518
-3.6111 2.5790 -0.3217
Si Sn Ce
1 2 1
direct
0.5000 0.5000 0.5000
0.0000 0.0000 0.5000
0.0000 0.5000 0.0000
0.5000 0.0000 0.0000
```

=====

[13]
VASP calculation (PBE) on crystalline BaAcMgSi at its relaxed geometry.

Calculated values
ΔE_f (raw), meV/atom: -97
Calculated total energy, eV/cell: -13.4

Cell and atoms, written as POSCAR:
```
BaAcMgSi
1.0
5.6845 0.0000 0.0000
2.8423 4.9230 0.0000
2.8423 1.6410 4.6414
Mg Ac Si Ba
1 1 1 1
direct
0.7500 0.7500 0.7500
0.0000 0.0000 0.0000
0.2500 0.2500 0.2500
0.5000 0.5000 0.5000
```

=====

[14]
VASP calculation (PBE) on crystalline TaMo2HRu at its relaxed geometry.

Calculated values
Distance to the lowest polymorph of the same formula, eV/f.u.: 0.06
Calculated total energy, eV/cell: -45.8

Cell and atoms, written as POSCAR:
```
TaMo2HRu
1.0
3.9680 0.0000 0.0000
0.0000 3.9680 0.0000
0.0000 0.0000 4.2009
Ru Mo H Ta
1 2 1 1
direct
0.5000 0.5000 0.5000
0.0000 0.5000 0.0000
0.5000 0.0000 0.0000
0.0000 0.0000 0.0000
0.0000 0.0000 0.5000
```

=====

[15]
VASP calculation (PBE) on crystalline POs2W at its relaxed geometry.

Calculated values
ΔH_f (0 K), eV/atom: 0.0086
Calculated total energy, eV/cell: -40.8

Cell and atoms, written as POSCAR:
```
POs2W
1.0
2.1002 -1.3207 4.5018
2.9490 3.4466 2.4178
-4.6412 -1.1425 -1.8909
P Os W
1 2 1
direct
0.4934 0.4934 0.0000
0.0031 0.0031 0.0000
0.2854 0.7854 0.5000
0.7181 0.2181 0.5000
```

=====

[16]
VASP calculation (PBE) on crystalline Ca2ScCr at its relaxed geometry.

Calculated values
Distance to the lowest polymorph of the same formula, eV/f.u.: 0.41
ΔH_f (0 K), eV/atom: 0.4012
Calculated total energy, eV/cell: -18.4

Cell and atoms, written as POSCAR:
```
Ca2ScCr
1.0
6.4693 -0.0078 0.0218
5.4265 3.5220 0.0218
2.4185 0.7145 5.0076
Sc Cr Ca
1 1 2
direct
0.7964 0.7964 0.7027
0.4825 0.4825 0.5188
0.0047 0.0047 0.9957
0.2163 0.2163 0.2827
```

=====

[17]
VASP calculation (PBE) on crystalline Cs3NdSm2O6 at its relaxed geometry.

Calculated values
ΔE_f (raw), meV/atom: -2534
Calculated total energy, eV/cell: -76.9

Cell and atoms, written as POSCAR:
```
Cs3NdSm2O6
1.0
-3.1439 -4.0588 -3.7516
5.6783 -1.6063 2.3683
-3.9449 -0.8583 6.0307
Cs Nd Sm O
3 1 2 6
direct
0.1669 0.8331 0.5000
0.8331 0.1669 0.5000
0.5000 0.5000 0.5000
0.0000 0.0000 0.0000
0.3333 0.6667 0.0000
0.6667 0.3333 0.0000
0.9438 0.6068 0.8315
0.7192 0.7192 0.1683
0.0562 0.3932 0.1685
0.6068 0.9438 0.8315
0.2808 0.2808 0.8317
0.3932 0.0562 0.1685
```

=====

[18]
VASP calculation (PBE) on crystalline La3NdInIr at its relaxed geometry.

Calculated values
ΔH_f (0 K), eV/atom: -0.4451
Calculated total energy, eV/cell: -67.6

Cell and atoms, written as POSCAR:
```
La3NdInIr
1.0
1.2860 -8.8594 2.0945
4.6018 -3.8517 6.9654
-5.5184 1.7568 1.9505
La Nd In Ir
6 2 2 2
direct
0.1799 0.1799 0.6779
0.1281 0.6288 0.8796
0.6288 0.1281 0.8796
0.3712 0.8719 0.1204
0.8719 0.3712 0.1204
0.8201 0.8201 0.3221
0.3041 0.6959 0.5000
0.6959 0.3041 0.5000
0.6941 0.6941 0.6945
0.3059 0.3059 0.3055
0.0001 0.0001 0.7619
0.9999 0.9999 0.2381
```

=====

[19]
VASP calculation (PBE) on crystalline HPdSe3 at its relaxed geometry.

Calculated values
Distance to the lowest polymorph of the same formula, eV/f.u.: 0.00
Calculated total energy, eV/cell: -15.3

Cell and atoms, written as POSCAR:
```
HPdSe3
1.0
4.3252 0.0000 0.0000
0.0000 4.3252 0.0000
0.0000 0.0000 4.3252
H Se Pd
1 3 1
direct
0.0000 0.0000 0.0000
0.0000 0.5000 0.0000
0.0000 0.0000 0.5000
0.5000 0.0000 0.0000
0.5000 0.5000 0.5000
```